# 1
This record from Alexandria via LeMat-Bulk describes a relaxed Na2TbInCl6 crystal. The functional is PBE.

Unit cell a=7.2257 b=7.2257 c=19.7527 alpha=90.00 beta=90.00 gamma=120.00
Space group R3 (No. 146, hexagonal axes)
Asymmetric unit:
Na1 0.0000 0.0000 0.0000
Na2 0.0000 0.0000 0.4858
Tb1 0.0000 0.0000 0.6823
In1 0.0000 0.0000 0.2008
Cl1 0.0082 0.3224 0.7503
Cl2 0.0298 0.6229 0.2611

Summary:
* formation energy from raw total energies: -1.806 eV/atom
* calculated volume: 29.8 Å³/atom
* magnetization: 0.000 μB/atom

# 2
This record from Alexandria via LeMat-Bulk describes a relaxed Zr2ScAl crystal. The functional is PBE.

Unit cell a=3.1746 b=4.1109 c=6.5391 alpha=90.00 beta=90.00 gamma=90.00
Space group Pmm2 (No. 25)
Asymmetric unit:
Zr1 0.0000 0.0000 0.0000
Zr2 0.5000 0.5000 0.2557
Sc1 0.5000 0.5000 0.7301
Al1 0.0000 0.0000 0.4925

Summary:
* energy of formation from the pure elements: -0.196 eV/atom
* calculated volume: 21.3 Å³/atom
* magnetization: 0.000 μB/atom

# 3
This record from Alexandria via LeMat-Bulk describes a relaxed KLaMnSe3 crystal. The functional is PBE.

Unit cell a=9.2686 b=4.3829 c=9.9402 alpha=90.00 beta=103.74 gamma=90.00
Space group P2_1/m (No. 11)
Asymmetric unit:
K1 0.1907 0.2500 0.2198
La1 0.3352 0.7500 0.8492
Mn1 0.0851 0.2500 0.6031
Se1 0.1093 0.2500 0.8553
Se2 0.1941 0.7500 0.5251
Se3 0.4471 0.7500 0.1568

Summary:
* formation energy from raw total energies: -1.335 eV/atom
* calculated volume: 32.7 Å³/atom
* magnetization: 0.833 μB/atom

We obtain total energy values of -3.915; -6.989; -5.609 eV/atom for the records listed above, in that order.